(1)
TlZnBrF2 | GGA-PBE | relaxed

Lattice parameters (Å, degrees): 4.361 4.361 5.170 90.00 90.00 90.00
Sites, in units of the cell vectors:
Tl: 0.000 0.000 0.000
Zn: 0.500 0.500 0.500
Br: 0.500 0.500 0.000
F: 0.000 0.500 0.500
F: 0.500 0.000 0.500

Summary:
total energy	-3.3482	eV/atom
space-group type	P4/mmm (123)
spin magnetization	0.000	μB per formula unit
formation energy (no corrections)	-148.31	kJ per mole of atoms
E above lowest polymorph	0.467	eV/f.u.


(2)
AcTbY4 | GGA-PBE | relaxed

Lattice parameters (Å, degrees): 5.774 5.774 7.045 90.00 90.00 120.00
Sites, in units of the cell vectors:
Ac: 0.000 0.000 0.000
Tb: 0.000 0.000 0.500
Y: 0.333 0.667 0.257
Y: 0.333 0.667 0.743
Y: 0.667 0.333 0.257
Y: 0.667 0.333 0.743

Summary:
total energy	-5.6960	eV/atom
space-group type	P6/mmm (191)
density of states at the Fermi level	9.7	states/eV/cell
spin magnetization	0.000	μB per formula unit
E above lowest polymorph	0.000	eV/f.u.
E_form	70	meV/atom


(3)
AcPrZnPd | GGA-PBE | relaxed

Lattice parameters (Å, degrees): 5.339 5.339 5.339 60.00 60.00 60.00
Sites, in units of the cell vectors:
Ac: 0.000 0.000 0.000
Pr: 0.500 0.500 0.500
Zn: 0.250 0.250 0.250
Pd: 0.750 0.750 0.750

Summary:
total energy	-4.2918	eV/atom
space-group type	F-43m (216)
density of states at the Fermi level	2.8	states/eV/cell
spin magnetization	0.000	μB per formula unit
E above lowest polymorph	0.194	eV/f.u.
E_form	-453	meV/atom


(4)
ReBiAu2 | GGA-PBE | relaxed

Lattice parameters (Å, degrees): 4.866 4.866 4.866 60.00 60.00 60.00
Sites, in units of the cell vectors:
Re: 0.000 0.000 0.000
Bi: 0.500 0.500 0.500
Au: 0.250 0.250 0.250
Au: 0.750 0.750 0.750

Summary:
total energy	-4.8513	eV/atom
space-group type	Fm-3m (225)
density of states at the Fermi level	3.5	states/eV/cell
spin magnetization	2.417	μB per formula unit
E above lowest polymorph	0.479	eV/f.u.
E_form	870	meV/atom


(5)
AcSmCuSn | GGA-PBE | relaxed

Lattice parameters (Å, degrees): 5.456 5.456 5.456 60.00 60.00 60.00
Sites, in units of the cell vectors:
Ac: 0.000 0.000 0.000
Sm: 0.500 0.500 0.500
Cu: 0.250 0.250 0.250
Sn: 0.750 0.750 0.750

Summary:
total energy	-4.5828	eV/atom
space-group type	F-43m (216)
density of states at the Fermi level	4.3	states/eV/cell
spin magnetization	0.001	μB per formula unit
E_form	-351	meV/atom